DFT (SCAN) results for a crystal of ErCo3Ni2 relaxed with PBEsol.

```
ErCo3Ni2
1.0
-1.974 0.699 -3.358
-0.481 -4.670 -0.690
-3.297 2.391 2.436
Co Ni Er
3 2 1
Direct
0.500 0.500 0.500
0.500 0.500 0.000
0.500 0.000 0.500
0.000 0.667 0.333
0.000 0.333 0.667
0.000 0.000 0.000
```

Computed properties:
**Volume**: 12.86 Å³ per atom
**Fermi-level density of states**: 5.73 states/eV/cell
**Symmetry**: P6/mmm, No. 191
**ΔH_f (0 K)**: -0.18 eV/atom
**Total DFT energy (no corrections)**: -22.611 eV per atom
**Crystal system**: hexagonal
**Mass density**: 9.9 g/cm3

DFT (SCAN) results for a crystal of NiSn2RuS relaxed with PBEsol.

```
NiSn2RuS
1.0
4.731 0.000 0.000
0.000 4.731 0.000
0.000 0.000 4.646
Ni Sn Ru S
1 2 1 1
Direct
0.000 0.000 0.000
0.000 0.500 0.000
0.500 0.000 0.000
0.000 0.000 0.500
0.500 0.500 0.500
```

Computed properties:
**Formation energy without anion corrections**: 692 meV/atom
**Volume**: 20.80 Å³ per atom
**Fermi-level density of states**: 3.27 states/eV/cell
**Symmetry**: P4/mmm, No. 123
**Total DFT energy (no corrections)**: -25.802 eV per atom
**Crystal system**: tetragonal
**Mass density**: 6.9 g/cm3

DFT (SCAN) results for a crystal of Pt2SCl relaxed with PBEsol.

```
Pt2SCl
1.0
-3.146 3.606 -3.742
-1.431 -5.816 0.529
-5.161 -1.654 2.745
Pt Cl S
4 2 2
Direct
0.875 0.250 0.575
0.375 0.250 0.175
0.175 0.750 0.875
0.575 0.750 0.375
0.750 0.500 0.750
0.000 0.000 0.000
0.500 0.000 0.500
0.250 0.500 0.250
```

Computed properties:
**Formation energy without anion corrections**: 121 meV/atom
**Volume**: 19.40 Å³ per atom
**Fermi-level density of states**: 4.16 states/eV/cell
**Symmetry**: I-42d, No. 122
**Total DFT energy (no corrections)**: -39.377 eV per atom
**Crystal system**: tetragonal
**Mass density**: 9.8 g/cm3

DFT (SCAN) results for a crystal of TiCu3As relaxed with PBEsol.

```
TiCu3As
1.0
4.372 0.000 0.000
0.000 4.372 0.000
0.000 0.000 4.372
Ti Cu As
1 3 1
Direct
0.500 0.500 0.500
0.500 0.000 0.000
0.000 0.500 0.000
0.000 0.000 0.500
0.000 0.000 0.000
```

Computed properties:
**Volume**: 16.71 Å³ per atom
**Fermi-level density of states**: 3.13 states/eV/cell
**Symmetry**: Pm-3m, No. 221
**ΔH_f (0 K)**: 0.55 eV/atom
**Total DFT energy (no corrections)**: -15.810 eV per atom
**Crystal system**: cubic
**Mass density**: 6.2 g/cm3

DFT (SCAN) results for a crystal of YB2As2 relaxed with PBEsol.

```
YB2As2
1.0
-2.223 -1.565 2.506
5.085 -1.506 3.570
-0.490 5.593 3.057
As B Y
4 4 2
Direct
0.500 0.147 0.647
0.500 0.853 0.353
0.500 0.647 0.853
0.500 0.353 0.147
0.000 0.592 0.092
0.000 0.092 0.408
0.000 0.408 0.908
0.000 0.908 0.592
0.000 0.500 0.500
0.000 0.000 0.000
```

Computed properties:
**Volume**: 15.11 Å³ per atom
**Fermi-level density of states**: 2.17 states/eV/cell
**Symmetry**: P4/mbm, No. 127
**ΔH_f (0 K)**: 0.21 eV/atom
**Total DFT energy (no corrections)**: -16.407 eV per atom
**Crystal system**: tetragonal
**Mass density**: 5.7 g/cm3

DFT (SCAN) results for a crystal of Ca2MnCr relaxed with PBEsol.

```
Ca2MnCr
1.0
-1.581 -3.632 3.308
3.387 -2.236 3.188
-0.162 1.011 5.058
Cr Mn Ca
1 1 2
Direct
0.000 0.000 0.000
0.500 0.500 0.500
0.750 0.750 0.750
0.250 0.250 0.250
```

Computed properties:
**Volume**: 24.30 Å³ per atom
**Fermi-level density of states**: 3.59 states/eV/cell
**Energy above the lowest structure with this stoichiometry**: 166 meV per atom
**Symmetry**: Fm-3m, No. 225
**ΔH_f (0 K)**: 0.35 eV/atom
**Total DFT energy (no corrections)**: -13.638 eV per atom
**Crystal system**: cubic
**Mass density**: 3.2 g/cm3

DFT (SCAN) results for a crystal of Mg3Au relaxed with PBEsol.

```
Mg3Au
1.0
3.441 0.000 0.000
0.000 3.561 0.027
0.000 -0.048 6.300
Mg Au
3 1
Direct
0.500 0.500 0.775
0.000 0.000 0.500
0.500 0.500 0.225
0.000 0.000 0.000
```

Computed properties:
**Volume**: 19.30 Å³ per atom
**Fermi-level density of states**: 1.18 states/eV/cell
**Energy above the lowest structure with this stoichiometry**: 167 meV per atom
**Symmetry**: Pmmm, No. 47
**ΔH_f (0 K)**: -0.43 eV/atom
**Total DFT energy (no corrections)**: -21.448 eV per atom
**Crystal system**: orthorhombic
**Mass density**: 5.8 g/cm3

DFT (SCAN) results for a crystal of CdFe2Tc relaxed with PBEsol.

```
CdFe2Tc
1.0
3.758 0.000 0.000
0.000 3.758 0.000
-1.879 -1.879 3.820
Cd Fe Tc
1 2 1
Direct
0.250 0.750 0.500
0.000 0.000 0.000
0.750 0.250 0.500
0.500 0.500 0.000
```

Computed properties:
**Volume**: 13.49 Å³ per atom
**Fermi-level density of states**: 3.44 states/eV/cell
**Symmetry**: I-4m2, No. 119
**ΔH_f (0 K)**: 0.43 eV/atom
**Total DFT energy (no corrections)**: -25.002 eV per atom
**Crystal system**: tetragonal
**Mass density**: 9.9 g/cm3

DFT (SCAN) results for a crystal of KAlTc2 relaxed with PBEsol.

```
KAlTc2
1.0
-0.629 2.013 1.530
2.054 -2.454 4.071
3.919 2.430 -3.805
Tc K Al
2 1 1
Direct
0.788 0.788 0.577
0.212 0.212 0.423
0.000 0.500 0.000
0.500 0.000 0.000
```

Computed properties:
**Volume**: 17.64 Å³ per atom
**Fermi-level density of states**: 3.74 states/eV/cell
**Symmetry**: Immm, No. 71
**ΔH_f (0 K)**: 0.81 eV/atom
**Total DFT energy (no corrections)**: -20.741 eV per atom
**Crystal system**: orthorhombic
**Mass density**: 6.2 g/cm3

DFT (SCAN) results for a crystal of HgCSN2 relaxed with PBEsol.

```
HgCSN2
1.0
-0.921 2.299 2.203
-2.487 -1.952 0.997
3.942 -2.726 4.494
Hg N C S
1 2 1 1
Direct
0.500 0.500 0.500
0.000 0.500 0.000
0.500 0.000 0.000
0.000 0.000 0.000
0.000 0.000 0.500
```

Computed properties:
**Formation energy without anion corrections**: 2242 meV/atom
**Volume**: 14.44 Å³ per atom
**Fermi-level density of states**: 1.30 states/eV/cell
**Symmetry**: P4/mmm, No. 123
**Total DFT energy (no corrections)**: -19.053 eV per atom
**Crystal system**: tetragonal
**Mass density**: 6.3 g/cm3

DFT (SCAN) results for a crystal of SrTaI2 relaxed with PBEsol.

```
SrTaI2
1.0
-2.806 4.276 1.052
-5.211 -0.158 -0.298
-2.873 0.232 4.355
I Sr Ta
2 1 1
Direct
0.750 0.750 0.750
0.250 0.250 0.250
0.000 0.000 0.000
0.500 0.500 0.500
```

Computed properties:
**Formation energy without anion corrections**: 355 meV/atom
**Volume**: 25.17 Å³ per atom
**Fermi-level density of states**: 3.46 states/eV/cell
**Symmetry**: Fm-3m, No. 225
**Total DFT energy (no corrections)**: -40.230 eV per atom
**Crystal system**: cubic
**Mass density**: 8.6 g/cm3

DFT (SCAN) results for a crystal of BaBe2FeP relaxed with PBEsol.

```
BaBe2FeP
1.0
4.356 0.000 0.000
0.000 4.356 0.000
0.000 0.000 5.123
Be P Fe Ba
2 1 1 1
Direct
0.000 0.500 0.000
0.500 0.000 0.000
0.500 0.500 0.500
0.000 0.000 0.000
0.000 0.000 0.500
```

Computed properties:
**Volume**: 19.44 Å³ per atom
**Fermi-level density of states**: 2.73 states/eV/cell
**Energy above the lowest structure with this stoichiometry**: 892 meV per atom
**Symmetry**: P4/mmm, No. 123
**ΔH_f (0 K)**: 0.90 eV/atom
**Total DFT energy (no corrections)**: -14.452 eV per atom
**Crystal system**: tetragonal
**Mass density**: 4.1 g/cm3